{"formula": "CaMgCl2", "functional": "PBE-GGA", "state": "relaxed", "lattice": [[3.7147, 0.0000, 0.0000], [0.0000, 6.4158, 0.0000], [0.0000, 0.0000, 4.3230]], "species": ["Cl", "Mg", "Cl", "Ca"], "fractional_positions": [[0.0000, 0.0000, 0.0000], [0.5000, 0.0000, 0.5000], [0.5000, 0.5000, 0.0000], [0.0000, 0.5000, 0.5000]], "space_group": "Pmmm", "e_form_raw_ev_per_atom": -1.15, "vol_a3_per_atom": 25.757}

{"formula": "CaMgCl2", "functional": "PBE-GGA", "state": "relaxed", "lattice": [[-0.7685, 2.5304, -5.7766], [-1.0300, -4.8379, -3.9870], [-2.3173, 3.1614, 4.9999]], "species": ["Mg", "Cl", "Ca", "Cl"], "fractional_positions": [[0.7500, 0.2500, 0.5000], [0.4301, 0.4301, 0.0000], [0.2500, 0.7500, 0.5000], [0.0699, 0.0699, 0.0000]], "space_group": "Immm", "e_form_raw_ev_per_atom": -1.33, "vol_a3_per_atom": 32.222}

{"formula": "CaMgCl2", "functional": "PBE-GGA", "state": "relaxed", "lattice": [[3.4402, 0.0000, 0.0000], [0.0000, 3.4127, 0.5120], [0.0000, 5.3782, 11.1312]], "species": ["Ca", "Cl", "Cl", "Mg"], "fractional_positions": [[0.5000, 0.7500, 0.7500], [0.0000, 0.5595, 0.5963], [0.0000, 0.9405, 0.9037], [0.5000, 0.2500, 0.2500]], "space_group": "P2/m", "e_form_raw_ev_per_atom": -1.39, "vol_a3_per_atom": 30.303}

{"formula": "CaMgCl2", "functional": "PBE-GGA", "state": "relaxed", "lattice": [[5.2808, 0.0000, 0.0000], [2.6404, 4.5733, 0.0000], [2.6404, 1.5244, 4.3117]], "species": ["Cl", "Mg", "Cl", "Ca"], "fractional_positions": [[0.2500, 0.2500, 0.2500], [0.7500, 0.7500, 0.7500], [0.0000, 0.0000, 0.0000], [0.5000, 0.5000, 0.5000]], "space_group": "F-43m", "e_form_raw_ev_per_atom": -0.84, "vol_a3_per_atom": 26.032}

{"formula": "Ca5MgCl12", "functional": "PBE-GGA", "state": "relaxed", "lattice": [[-0.4871, 6.2790, 3.0875], [-5.4645, 1.4425, 4.1713], [6.6135, -4.4938, 10.2388]], "species": ["Ca", "Ca", "Cl", "Cl", "Ca", "Cl", "Cl", "Cl", "Cl", "Cl", "Mg", "Cl", "Cl", "Cl", "Cl", "Cl", "Ca", "Ca"], "fractional_positions": [[0.1666, 0.6668, 0.5000], [0.6667, 0.6666, 0.0000], [0.6893, 0.3106, 0.1048], [0.0001, 0.3106, 0.8952], [0.8334, 0.3332, 0.5000], [0.1664, 0.0000, 0.6107], [0.8336, 0.0000, 0.3893], [0.3104, 0.0000, 0.1047], [0.9999, 0.6894, 0.1048], [0.5009, 0.6665, 0.3888], [0.0000, 0.0000, 0.0000], [0.1674, 0.3335, 0.3888], [0.4991, 0.3335, 0.6112], [0.8326, 0.6665, 0.6112], [0.3108, 0.6894, 0.8952], [0.6896, 0.0000, 0.8953], [0.3333, 0.3334, 0.0000], [0.5000, 0.0000, 0.5000]], "space_group": "C2/m", "e_form_raw_ev_per_atom": -2.29, "vol_a3_per_atom": 30.809}

{"formula": "CaMgCl2", "functional": "PBE-GGA", "state": "relaxed", "lattice": [[-1.6682, -4.9814, 8.7278], [-1.2882, -8.7336, 5.0830], [4.0492, 6.8223, -6.3900]], "species": ["Cl", "Cl", "Ca", "Mg"], "fractional_positions": [[0.7561, 0.2561, 0.5000], [0.1020, 0.1020, 0.0000], [0.1988, 0.6988, 0.5000], [0.4430, 0.4430, 0.0000]], "space_group": "Imm2", "e_form_raw_ev_per_atom": -1.38, "vol_a3_per_atom": 33.793}

{"formula": "CaMgCl2", "functional": "PBE-GGA", "state": "relaxed", "lattice": [[4.1427, 0.0000, 0.0000], [0.0000, 4.8603, 0.0000], [0.0000, 0.0000, 4.8603]], "species": ["Cl", "Ca", "Mg", "Cl"], "fractional_positions": [[0.0000, 0.5000, 0.5000], [0.5000, 0.0000, 0.5000], [0.5000, 0.5000, 0.0000], [0.0000, 0.0000, 0.0000]], "space_group": "P4/mmm", "e_form_raw_ev_per_atom": -1.10, "vol_a3_per_atom": 24.465}

{"formula": "CaMgCl2", "functional": "PBE-GGA", "state": "relaxed", "lattice": [[-0.1237, 3.4463, 0.5280], [-2.8724, -0.3722, 1.9447], [4.9758, -0.9205, 7.1735]], "species": ["Mg", "Ca", "Cl", "Cl"], "fractional_positions": [[0.0000, 0.0000, 0.4671], [0.5000, 0.5000, 0.7737], [0.0000, 0.0000, 0.9338], [0.5000, 0.5000, 0.3254]], "space_group": "Cmm2", "e_form_raw_ev_per_atom": -1.38, "vol_a3_per_atom": 26.710}

{"formula": "CaMgCl2", "functional": "PBE-GGA", "state": "relaxed", "lattice": [[-3.4357, -3.3090, 2.0576], [0.1267, -1.0463, 5.0869], [-3.7672, 1.7674, 3.1099]], "species": ["Mg", "Ca", "Cl", "Cl"], "fractional_positions": [[0.0000, 0.0000, 0.0000], [0.5000, 0.5000, 0.5000], [0.7500, 0.7500, 0.7500], [0.2500, 0.2500, 0.2500]], "space_group": "Fm-3m", "e_form_raw_ev_per_atom": -1.13, "vol_a3_per_atom": 24.783}

{"formula": "CaMgCl2", "functional": "PBE-GGA", "state": "relaxed", "lattice": [[2.3131, 0.0000, 11.0226], [-1.1565, 2.0032, 11.0226], [-1.1565, -2.0032, 11.0226]], "species": ["Mg", "Cl", "Ca", "Cl"], "fractional_positions": [[0.0000, 0.0000, 0.0000], [0.1223, 0.1223, 0.1223], [0.5000, 0.5000, 0.5000], [0.8777, 0.8777, 0.8777]], "space_group": "R-3m", "e_form_raw_ev_per_atom": -1.51, "vol_a3_per_atom": 38.306}

{"formula": "Ca3MgCl", "functional": "PBE-GGA", "state": "relaxed", "lattice": [[-4.9693, 1.8168, -1.4392], [-1.6636, -5.1665, -0.7778], [-1.6138, -0.2682, 5.2335]], "species": ["Cl", "Ca", "Ca", "Mg", "Ca"], "fractional_positions": [[0.0000, 0.0000, 0.0000], [0.0000, 0.5000, 0.0000], [0.5000, 0.0000, 0.0000], [0.5000, 0.5000, 0.5000], [0.0000, 0.0000, 0.5000]], "space_group": "Pm-3m", "e_form_raw_ev_per_atom": -0.50, "vol_a3_per_atom": 32.971}

{"formula": "CaMgCl4", "functional": "PBE-GGA", "state": "relaxed", "lattice": [[3.8876, 0.0000, 0.0000], [0.0000, 6.5313, -0.5462], [0.0000, 0.0432, 6.7890]], "species": ["Ca", "Cl", "Mg", "Cl", "Cl", "Cl"], "fractional_positions": [[0.0000, 0.0000, 0.0000], [0.0000, 0.7904, 0.3363], [0.5000, 0.0000, 0.5000], [0.0000, 0.2096, 0.6637], [0.5000, 0.7842, 0.7929], [0.5000, 0.2158, 0.2071]], "space_group": "P2/m", "e_form_raw_ev_per_atom": -2.10, "vol_a3_per_atom": 28.745}